(1)
Computed, not measured: a relaxed Ac3Ga4Ru4 crystal at the PBE level of DFT.

* SG: No. 217
* crystal system: cubic
* E_tot: -6.013 eV/atom

a b c (Å): 6.811 6.811 6.811
angles (deg): 109.47 109.47 109.47
Positions (direct):
Ga 0.000 0.616 0.000
Ga 0.384 0.384 0.384
Ga 0.000 0.000 0.616
Ga 0.616 0.000 0.000
Ru 0.000 0.248 0.000
Ru 0.248 0.000 0.000
Ru 0.752 0.752 0.752
Ru 0.000 0.000 0.248
Ac 0.500 0.500 0.000
Ac 0.000 0.500 0.500
Ac 0.500 0.000 0.500

(2)
Computed, not measured: a relaxed Ac5Ga5Ru2 crystal at the PBE level of DFT.

* SG: No. 12
* crystal system: monoclinic
* E_tot: -4.855 eV/atom

a b c (Å): 4.790 6.716 11.042
angles (deg): 93.20 90.00 110.89
Positions (direct):
Ga 0.632 0.264 0.796
Ga 0.907 0.815 0.679
Ga 0.093 0.185 0.321
Ga 0.368 0.736 0.204
Ga 0.000 0.000 0.000
Ac 0.211 0.423 0.607
Ac 0.500 0.000 0.500
Ac 0.652 0.303 0.103
Ac 0.789 0.577 0.393
Ac 0.348 0.697 0.897
Ru 0.079 0.158 0.809
Ru 0.921 0.842 0.191